The following is a PBE+U calculation of an optimized crystal structure of CrSb2F, from Alexandria via LeMat-Bulk.

```
CrSb2F
1.0
6.762 0.000 0.000
0.000 6.762 0.000
0.000 0.000 6.762
Cr Sb F
4 8 4
Cartesian
0.000 0.000 0.000
0.000 3.381 3.381
3.381 0.000 3.381
3.381 3.381 0.000
1.690 1.690 1.690
1.690 1.690 5.071
1.690 5.071 1.690
1.690 5.071 5.071
5.071 1.690 1.690
5.071 1.690 5.071
5.071 5.071 1.690
5.071 5.071 5.071
0.000 0.000 3.381
0.000 3.381 0.000
3.381 0.000 0.000
3.381 3.381 3.381
```

Output
The value obtained for the raw total energy is -4.80 eV/atom. As for the volume: 19.3 Å³ per atom.